Material: K4Sm3CrO8
Method: DFT, GGA+U
State: relaxed

Geometry as extended XYZ:
```
16
Lattice="-0.221 6.196 3.145 1.268 -3.277 6.545 4.544 -1.129 -5.139" Properties=species:S:1:pos:R:3 pbc="T T T"
K -0.111 3.098 1.573
K 2.161 2.533 -0.997
K 0.000 0.000 0.000
K 2.272 -0.565 -2.570
Sm 0.523 1.459 4.845
Sm 2.795 0.895 2.276
Sm 2.906 -2.203 0.703
Cr 0.634 -1.639 3.273
O 5.213 -1.992 0.182
O 2.784 -1.388 2.930
O 2.777 0.052 0.093
O 5.095 1.321 1.864
O 0.496 0.468 2.687
O 2.814 1.738 4.458
O 2.807 3.177 1.621
O 0.377 3.781 4.369
```

Results
- mass density (g/cm³) = 5.00
- electronic total energy (eV per atom) = -6.4803
- volume (Å³/f.u.) = 262